1.
## HfCdIr2N (GGA-PBE)

Data for an optimized crystal structure of HfCdIr2N.

Output
symmetry = P4/mmm (123)
E_form (uncorrected) = 2.86 eV per atom

Unit cell a=4.838 b=5.177 c=4.838 alpha=90.00 beta=90.00 gamma=90.00
Site moments in Bohr magnetons follow the coordinates.
Fractional positions:
Ir1 0.500 0.000 0.000  0.62
Ir2 0.000 0.000 0.500  0.68
Cd1 0.000 0.000 0.000  -0.01
N1 0.500 0.500 0.500  1.33
Hf1 0.000 0.500 0.000  -0.29

***

2.
## Tb6Tl6Bi (GGA-PBE)

Data for an optimized crystal structure of Tb6Tl6Bi.

Output
symmetry = P6/mmm (191)
ΔE_f = -243.5 meV/atom

Unit cell a=6.547 b=6.547 c=10.397 alpha=90.00 beta=90.00 gamma=120.00
Fractional positions:
Tl1 0.500 0.500 0.253
Tl2 0.000 0.500 0.253
Tl3 0.500 0.500 0.747
Tl4 0.500 0.000 0.253
Tl5 0.000 0.500 0.747
Tl6 0.500 0.000 0.747
Tb1 0.333 0.667 0.000
Tb2 0.667 0.333 0.500
Tb3 0.000 0.000 0.697
Tb4 0.333 0.667 0.500
Tb5 0.667 0.333 0.000
Tb6 0.000 0.000 0.303
Bi1 0.000 0.000 0.000

***

3.
## Y4Ta (GGA-PBE)

Data for an optimized crystal structure of Y4Ta.

Output
relative energy among the computed polymorphs = 0.0 kJ/mol of atoms
symmetry = Pm-3m (221)
ΔE_f = 571.5 meV/atom

Unit cell a=5.526 b=5.526 c=5.526 alpha=90.00 beta=90.00 gamma=90.00
Fractional positions:
Y1 0.500 0.000 0.500
Y2 0.000 0.500 0.500
Y3 0.000 0.000 0.000
Y4 0.500 0.500 0.000
Ta1 0.500 0.500 0.500

***

4.
## NiMo2Se (GGA-PBE)

Data for an optimized crystal structure of NiMo2Se.

Output
symmetry = P4mm (99)
E_form (uncorrected) = 0.12 eV per atom

Unit cell a=3.244 b=3.244 c=5.674 alpha=90.00 beta=90.00 gamma=90.00
Fractional positions:
Mo1 0.000 0.000 0.010
Mo2 0.500 0.500 0.269
Ni1 0.000 0.000 0.486
Se1 0.500 0.500 0.735

***

5.
## Sm2TmPa2Co5 (GGA-PBE)

Data for an optimized crystal structure of Sm2TmPa2Co5.

Output
symmetry = P4/mbm (127)
ΔE_f = -119.0 meV/atom

Unit cell a=3.461 b=10.550 c=10.550 alpha=90.00 beta=90.00 gamma=90.00
Fractional positions:
Pa1 0.000 0.865 0.365
Pa2 0.000 0.365 0.135
Pa3 0.000 0.135 0.635
Pa4 0.000 0.635 0.865
Co1 0.500 0.280 0.543
Co2 0.500 0.720 0.457
Co3 0.500 0.000 0.500
Co4 0.500 0.780 0.957
Co5 0.500 0.957 0.220
Co6 0.500 0.543 0.720
Co7 0.500 0.220 0.043
Co8 0.500 0.043 0.780
Co9 0.500 0.457 0.280
Co10 0.500 0.500 0.000
Sm1 0.000 0.673 0.173
Sm2 0.000 0.173 0.327
Sm3 0.000 0.327 0.827
Sm4 0.000 0.827 0.673
Tm1 0.000 0.000 0.000
Tm2 0.000 0.500 0.500

***

6.
## LiCdSb2 (GGA-PBE)

Data for an optimized crystal structure of LiCdSb2.

Output
symmetry = P4mm (99)
E_form (uncorrected) = -0.06 eV per atom

Unit cell a=3.972 b=3.972 c=6.210 alpha=90.00 beta=90.00 gamma=90.00
Fractional positions:
Li1 0.500 0.500 0.760
Cd1 0.000 0.000 0.504
Sb1 0.500 0.500 0.250
Sb2 0.000 0.000 0.986